Compound: Be2ReBr
Source: Alexandria
Functional: GGA-PBE
Structure: relaxed

As for the uncorrected formation energy: 0.9917 eV per atom. As for the energy above the lowest structure with this stoichiometry: 0.609 eV per atom.

Unit cell a=5.2210 b=5.2210 c=5.2210 alpha=141.95 beta=141.95 gamma=54.91
Sites, in units of the cell vectors:
Re (0.7500, 0.2500, 0.5000)
Br (0.5000, 0.5000, 0.0000)
Be (0.0000, 0.0000, 0.0000)
Be (0.2500, 0.7500, 0.5000)

Compound: Sm3SbSe2
Source: Alexandria
Functional: GGA-PBE
Structure: relaxed

As for the uncorrected formation energy: -1.6072 eV per atom. As for the energy above the lowest structure with this stoichiometry: 0.000 eV per atom.

Unit cell a=4.2791 b=6.0649 c=7.4055 alpha=114.17 beta=106.79 gamma=90.00
Sites, in units of the cell vectors:
Sm (0.8263, 0.3263, 0.1526)
Sm (0.1737, 0.6737, 0.8474)
Sm (0.5000, 0.0000, 0.5000)
Sb (0.5000, 0.5000, 0.5000)
Se (0.8356, 0.8356, 0.1711)
Se (0.1644, 0.1644, 0.8289)

Compound: SrSi4Ru4
Source: Alexandria
Functional: GGA-PBE
Structure: relaxed

As for the uncorrected formation energy: -0.5955 eV per atom.

Unit cell a=4.6516 b=8.1018 c=8.1018 alpha=90.00 beta=90.00 gamma=90.00
Sites, in units of the cell vectors:
Sr (0.0000, 0.0000, 0.0000)
Sr (0.5000, 0.5000, 0.5000)
Si (0.5842, 0.8466, 0.3104)
Si (0.5842, 0.1534, 0.6896)
Si (0.0842, 0.8104, 0.6534)
Si (0.9158, 0.3466, 0.8104)
Si (0.9158, 0.6534, 0.1896)
Si (0.4158, 0.3104, 0.1534)
Si (0.4158, 0.6896, 0.8466)
Si (0.0842, 0.1896, 0.3466)
Ru (0.4097, 0.3700, 0.8709)
Ru (0.9097, 0.6291, 0.8700)
Ru (0.4097, 0.6300, 0.1291)
Ru (0.0903, 0.1300, 0.6291)
Ru (0.5903, 0.8709, 0.6300)
Ru (0.0903, 0.8700, 0.3709)
Ru (0.9097, 0.3709, 0.1300)
Ru (0.5903, 0.1291, 0.3700)

- Which formula does entry 2 have?
  Sm3SbSe2

- Which of these has the highest uncorrected formation energy?
  Be2ReBr